Nd10Tl3Sn3 (PBE, optimized geometry); formation energy from the elements = -483 meV/atom; space group = P-62m
1.0
-4.3572 5.3469 -0.5325
0.1394 -0.8092 -9.2649
-6.3252 -4.6583 4.9805
Nd Sn Tl
10 3 3
Cartesian
-7.4304 0.6254 -0.1664
-3.1125 -0.7459 -4.6505
-2.0728 2.0594 -7.2978
-3.6697 1.3555 -1.2991
-5.2674 -2.0290 0.0979
-5.2755 1.9084 -4.9149
0.0332 -0.1924 -2.2034
-4.7146 -4.1672 -3.2655
-1.5043 -1.1079 1.1845
-6.9790 -0.8619 3.5136
-5.9226 -0.6358 -2.8595
-4.6754 0.8347 1.6997
-2.1236 2.3541 -3.9234
0.0836 -0.4852 -5.5555
-3.7928 -2.7933 2.9865
-2.4766 -2.1890 -1.7153